1.
First-principles (PBE) data for a geometry-optimized Y2ReOs structure, as listed in Alexandria via LeMat-Bulk.

Properties
- energy (Ry per atom) = -0.665
- energy of formation from the pure elements (eV/atom) = 0.11
- DOS(E_F) (states/eV/f.u.) = 3.718
- magnetization (μB/atom) = 0.000
- V (Å³ per cell) = 82.7

Lattice parameters (Å, degrees): 5.9014 5.9014 4.8582 65.68 65.68 32.76
Last column: nearest neighbours and their distance in Å.
Fractional coordinates of all 4 atoms:
Y 0.7660 0.7660 0.7339  4 Re 2.98, 2 Os 3.13, 6 Y 3.31-3.33
Y 0.9862 0.9862 0.0139  4 Os 2.97, 2 Re 3.17, 4 Y 3.31
Os 0.5258 0.5258 0.4744  2 Re 2.61
Re 0.2220 0.2220 0.2778  2 Os 2.61

2.
First-principles (PBE) data for a geometry-optimized YReOs2 structure, as listed in Alexandria via LeMat-Bulk.

Properties
- energy (Ry per atom) = -0.724
- energy of formation from the pure elements (eV/atom) = 0.50
- DOS(E_F) (states/eV/f.u.) = 3.549
- magnetization (μB/atom) = 0.000
- V (Å³ per cell) = 67.3

Lattice parameters (Å, degrees): 3.0993 4.7395 4.5800 90.00 90.00 90.00
Last column: nearest neighbours and their distance in Å.
Fractional coordinates of all 4 atoms:
Re 0.5000 0.0000 0.5000  4 Os 2.77, 4 Y 2.83
Os 0.5000 0.5000 0.0000  4 Y 2.77, 4 Os 2.83
Os 0.0000 0.0000 0.0000  4 Re 2.77, 4 Os 2.83
Y 0.0000 0.5000 0.5000  4 Os 2.77, 4 Re 2.83

3.
First-principles (PBE) data for a geometry-optimized Y2ReOs structure, as listed in Alexandria via LeMat-Bulk.

Properties
- energy (Ry per atom) = -0.615
- energy of formation from the pure elements (eV/atom) = 0.78
- DOS(E_F) (states/eV/f.u.) = 4.799
- magnetization (μB/atom) = 0.000
- V (Å³ per cell) = 170.7

Lattice parameters (Å, degrees): 7.7751 7.7751 6.1809 51.03 51.03 90.00
Last column: nearest neighbours and their distance in Å.
Fractional coordinates of all 8 atoms:
Re 0.2500 0.7500 0.5000  2 Os 2.82, 4 Y 2.92
Re 0.5000 0.5000 0.0000  2 Os 2.82, 4 Y 2.92
Y 0.8750 0.8893 0.7500  2 Os 2.76, 2 Y 2.83, 2 Re 2.92
Y 0.1107 0.6250 0.2500  2 Os 2.76, 2 Y 2.83, 2 Re 2.92
Y 0.3750 0.3607 0.7500  2 Os 2.76, 2 Y 2.83, 2 Re 2.92
Y 0.6393 0.1250 0.2500  2 Os 2.76, 2 Y 2.83, 2 Re 2.92
Os 0.7500 0.2500 0.5000  4 Y 2.76, 2 Re 2.82
Os 0.0000 0.0000 0.0000  4 Y 2.76, 2 Re 2.82

What did the second record say?
First-principles (PBE) data for a geometry-optimized YReOs2 structure, as listed in Alexandria via LeMat-Bulk.

Properties
- energy (Ry per atom) = -0.724
- energy of formation from the pure elements (eV/atom) = 0.50
- DOS(E_F) (states/eV/f.u.) = 3.549
- magnetization (μB/atom) = 0.000
- V (Å³ per cell) = 67.3

Lattice parameters (Å, degrees): 3.0993 4.7395 4.5800 90.00 90.00 90.00
Last column: nearest neighbours and their distance in Å.
Fractional coordinates of all 4 atoms:
Re 0.5000 0.0000 0.5000  4 Os 2.77, 4 Y 2.83
Os 0.5000 0.5000 0.0000  4 Y 2.77, 4 Os 2.83
Os 0.0000 0.0000 0.0000  4 Re 2.77, 4 Os 2.83
Y 0.0000 0.5000 0.5000  4 Os 2.77, 4 Re 2.83